1.
Fe2Ir5Rh12: relaxed, PBE-GGA.

Cell lengths 4.7286, 7.2377, 9.1636 Å; angles 113.26, 93.91, 90.00 degrees
Last column: magnetic moment on the atom in μB.
Fractional positions:
Ir 0.5000 0.0000 0.0000  0.05
Ir 0.0761 0.3577 0.7154  0.08
Ir 0.4321 0.7212 0.4424  0.00
Ir 0.5679 0.2788 0.5576  0.00
Ir 0.9239 0.6423 0.2846  0.08
Fe 0.0000 0.3117 0.0000  3.03
Fe 0.0000 0.6883 0.0000  3.03
Rh 0.3799 0.6755 0.7335  0.00
Rh 0.8469 0.9779 0.5948  -0.04
Rh 0.1531 0.3831 0.4052  -0.04
Rh 0.4026 0.5661 0.1321  0.26
Rh 0.1531 0.0221 0.4052  -0.04
Rh 0.9744 0.9257 0.8514  0.06
Rh 0.6201 0.3245 0.2665  0.00
Rh 0.5974 0.4339 0.8679  0.26
Rh 0.6201 0.9420 0.2665  0.00
Rh 0.3799 0.0580 0.7335  0.00
Rh 0.8469 0.6169 0.5948  -0.04
Rh 0.0256 0.0743 0.1486  0.06

Results
- Size of the total moment: 6.781 μB per formula unit
- Uncorrected energy: -7.527 eV per atom
- Fermi-level density of states: 27.91 states/eV/cell
- Space group: C2/m, No. 12
- Volume: 15.12 A^3/atom
- Energy relative to the elements: 6.44 eV/f.u.
- Crystal system: monoclinic


2.
SiTc2Pb: relaxed, PBE-GGA.

Cell lengths 3.0956, 3.0956, 6.8267 Å; angles 90.00, 90.00, 90.00 degrees
Fractional positions:
Si 0.5000 0.5000 0.7500
Pb 0.5000 0.5000 0.2500
Tc 0.0000 0.0000 0.5534
Tc 0.0000 0.0000 0.9466

Results
- Size of the total moment: 0.000 μB per formula unit
- Uncorrected energy: -7.293 eV per atom
- Fermi-level density of states: 4.22 states/eV/cell
- Space group: P4/mmm, No. 123
- Volume: 16.35 A^3/atom
- Relative energy among the computed polymorphs: 0.0 meV/atom
- Uncorrected formation energy: 0.1731 eV per atom
- Crystal system: tetragonal


3.
Ag2AuIF: relaxed, PBE-GGA.

Cell lengths 5.4947, 5.3436, 5.4947 Å; angles 90.00, 90.00, 90.00 degrees
Fractional positions:
Au 0.0000 0.5000 0.0000
Ag 0.5000 0.0000 0.0000
Ag 0.0000 0.0000 0.5000
F 0.5000 0.5000 0.5000
I 0.0000 0.0000 0.0000

Results
- Size of the total moment: 0.000 μB per formula unit
- Uncorrected energy: -2.143 eV per atom
- Fermi-level density of states: 2.41 states/eV/cell
- Space group: P4/mmm, No. 123
- Volume: 32.27 A^3/atom
- Uncorrected formation energy: 0.3376 eV per atom
- Crystal system: tetragonal


4.
MgRh2: relaxed, PBE-GGA.

Cell lengths 5.9538, 5.9538, 5.9538 Å; angles 90.00, 90.00, 90.00 degrees
Last column: magnetic moment on the atom in μB.
Fractional positions:
Mg 0.0000 0.5000 0.5000  -0.01
Mg 0.0000 0.0000 0.0000  -0.01
Mg 0.5000 0.0000 0.5000  -0.01
Mg 0.5000 0.5000 0.0000  -0.01
Rh 0.6211 0.6211 0.3789  0.68
Rh 0.1211 0.8789 0.6211  0.68
Rh 0.1211 0.6211 0.1211  0.68
Rh 0.3789 0.3789 0.6211  0.68
Rh 0.3789 0.1211 0.1211  0.68
Rh 0.8789 0.1211 0.3789  0.68
Rh 0.6211 0.8789 0.8789  0.68
Rh 0.8789 0.3789 0.8789  0.68

Results
- Size of the total moment: 1.346 μB per formula unit
- Uncorrected energy: -4.762 eV per atom
- Fermi-level density of states: 18.59 states/eV/cell
- Space group: Pa-3, No. 205
- Volume: 17.59 A^3/atom
- Energy relative to the elements: 2.01 eV/f.u.
- Crystal system: cubic


Question: Which value of size of the total moment does entry 1 give?
Answer: 6.781 μB per formula unit


Question: The lowest volume belongs to which entry?
Answer: Fe2Ir5Rh12